A relaxed structure of MgPOs2. Source: Alexandria via LeMat-Bulk, functional PBE.

Cell lengths 4.097, 2.919, 5.017 Å; angles 73.15, 90.00, 90.00 degrees
Sites, in units of the cell vectors:
Mg: 0.500 0.702 0.723
Os: 0.000 0.056 0.012
Os: 0.500 0.436 0.252
P: 0.000 0.306 0.513

Output
**SG**: No. 38
**Energy above the lowest structure with this stoichiometry**: 5.3 kJ/mol of formula units
**Calculated formation energy**: 0.069 eV/atom

***

A relaxed structure of MgPOs2. Source: Alexandria via LeMat-Bulk, functional PBE.

Cell lengths 2.891, 2.891, 8.223 Å; angles 90.00, 90.00, 118.67 degrees
Sites, in units of the cell vectors:
Mg: 0.500 0.500 0.750
Os: 0.000 0.000 0.035
Os: 0.000 0.000 0.465
P: 0.500 0.500 0.250

Output
**SG**: No. 65
**Energy above the lowest structure with this stoichiometry**: 88.5 kJ/mol of formula units
**Calculated formation energy**: 0.285 eV/atom

***

A relaxed structure of MgPOs2. Source: Alexandria via LeMat-Bulk, functional PBE.

Cell lengths 4.854, 4.854, 4.854 Å; angles 135.09, 135.09, 65.39 degrees
Sites, in units of the cell vectors:
Mg: 0.750 0.250 0.500
Os: 0.000 0.000 0.000
Os: 0.250 0.750 0.500
P: 0.500 0.500 0.000

Output
**SG**: No. 119
**Energy above the lowest structure with this stoichiometry**: 116.2 kJ/mol of formula units
**Calculated formation energy**: 0.356 eV/atom